The following is a GGA-PBE calculation of crystalline Pr8Ag2Pb at its relaxed geometry, from the Alexandria database.

a b c (Å): 9.303 9.303 8.314
angles (deg): 114.03 114.03 32.38
Positions (direct):
1 Pr 0.044 0.044 0.257
2 Pr 0.175 0.175 0.764
3 Pr 0.319 0.319 0.536
4 Pr 0.407 0.407 0.038
5 Pr 0.593 0.593 0.962
6 Pr 0.681 0.681 0.464
7 Pr 0.825 0.825 0.236
8 Pr 0.956 0.956 0.743
9 Ag 0.195 0.195 0.153
10 Ag 0.805 0.805 0.847
11 Pb 0.500 0.500 0.500

Output
ΔE_f (eV per formula unit): -1.89


The following is a GGA-PBE calculation of crystalline Pr4Ag3Pb at its relaxed geometry, from the Alexandria database.

a b c (Å): 8.618 8.618 8.618
angles (deg): 143.46 143.46 52.63
Positions (direct):
1 Pr 0.129 0.629 0.500
2 Pr 0.371 0.871 0.500
3 Pr 0.629 0.129 0.500
4 Pr 0.871 0.371 0.500
5 Ag 0.000 0.000 0.000
6 Ag 0.248 0.248 0.000
7 Ag 0.752 0.752 0.000
8 Pb 0.500 0.500 0.000

Output
ΔE_f (eV per formula unit): -2.54


The following is a GGA-PBE calculation of crystalline PrAgPb2 at its relaxed geometry, from the Alexandria database.

a b c (Å): 4.847 4.847 4.637
angles (deg): 90.00 90.00 90.00
Positions (direct):
1 Pr 0.000 0.000 0.000
2 Ag 0.500 0.500 0.000
3 Pb 0.000 0.500 0.500
4 Pb 0.500 0.000 0.500

Output
ΔE_f (eV per formula unit): -1.37


The following is a GGA-PBE calculation of crystalline PrAgRhPb at its relaxed geometry, from the Alexandria database.

a b c (Å): 5.016 5.016 5.016
angles (deg): 60.00 60.00 60.00
Positions (direct):
1 Pr 0.000 0.000 0.000
2 Ag 0.750 0.750 0.750
3 Rh 0.250 0.250 0.250
4 Pb 0.500 0.500 0.500

Output
ΔE_f (eV per formula unit): -1.14


The following is a GGA-PBE calculation of crystalline PrAgPb2S4 at its relaxed geometry, from the Alexandria database.

a b c (Å): 7.019 4.161 7.340
angles (deg): 90.00 109.62 90.00
Positions (direct):
1 Pr 0.000 0.000 0.000
2 Ag 0.500 0.500 0.000
3 Pb 0.000 0.500 0.500
4 Pb 0.500 0.000 0.500
5 S 0.242 0.500 0.238
6 S 0.256 0.000 0.766
7 S 0.744 0.000 0.234
8 S 0.758 0.500 0.762

Output
E_tot (eV per atom): -4.802


The following is a GGA-PBE calculation of crystalline PrScAgPb at its relaxed geometry, from the Alexandria database.

a b c (Å): 5.270 5.270 5.270
angles (deg): 60.00 60.00 60.00
Positions (direct):
1 Pr 0.000 0.000 0.000
2 Sc 0.500 0.500 0.500
3 Ag 0.250 0.250 0.250
4 Pb 0.750 0.750 0.750

Output
ΔE_f (eV per formula unit): -1.38


The following is a GGA-PBE calculation of crystalline PrAgPb2Se4 at its relaxed geometry, from the Alexandria database.

a b c (Å): 7.303 4.307 7.596
angles (deg): 90.00 109.71 90.00
Positions (direct):
1 Pr 0.000 0.000 0.000
2 Ag 0.500 0.500 0.000
3 Pb 0.000 0.500 0.500
4 Pb 0.500 0.000 0.500
5 Se 0.245 0.500 0.239
6 Se 0.260 0.000 0.767
7 Se 0.740 0.000 0.233
8 Se 0.755 0.500 0.761

Output
E_tot (eV per atom): -4.459


The following is a GGA-PBE calculation of crystalline PrSmAgPb at its relaxed geometry, from the Alexandria database.

a b c (Å): 5.438 5.438 5.438
angles (deg): 60.00 60.00 60.00
Positions (direct):
1 Pr 0.000 0.000 0.000
2 Sm 0.500 0.500 0.500
3 Ag 0.250 0.250 0.250
4 Pb 0.750 0.750 0.750

Output
ΔE_f (eV per formula unit): -1.68